(1)
# PBE NpUSb2, optimized geometry
# Excess energy over the best structure of this formula in the dataset   102 meV/atom
# Uncorrected energy   -8.212 eV/atom
data_NpUSb2
_cell_length_a 4.2177
_cell_length_b 4.2177
_cell_length_c 23.4167
_cell_angle_alpha 90.00
_cell_angle_beta 90.00
_cell_angle_gamma 120.00
_symmetry_space_group_name_H-M 'R 3 m'
_symmetry_Int_Tables_number 160
_symmetry_space_group_name_Hall 'R 3 -2"'
loop_
_atom_site_label
_atom_site_fract_x
_atom_site_fract_y
_atom_site_fract_z
Np1 0.0000 0.0000 0.0000
U1 0.0000 0.0000 0.1688
Sb1 0.0000 0.0000 0.4174
Sb2 0.0000 0.0000 0.5854

=====

(2)
# PBE Mo2OsPt, optimized geometry
# Excess energy over the best structure of this formula in the dataset   718 meV/atom
# Uncorrected energy   -9.181 eV/atom
# Energy of formation   0.552 eV/atom
data_Mo2OsPt
_cell_length_a 7.0961
_cell_length_b 7.0961
_cell_length_c 5.4084
_cell_angle_alpha 90.00
_cell_angle_beta 90.00
_cell_angle_gamma 90.00
_symmetry_space_group_name_H-M 'I -4 2 d'
_symmetry_Int_Tables_number 122
_symmetry_space_group_name_Hall 'I -4 2bw'
loop_
_atom_site_label
_atom_site_fract_x
_atom_site_fract_y
_atom_site_fract_z
Mo1 0.2265 0.2500 0.1250
Os1 0.0000 0.0000 0.0000
Pt1 0.0000 0.0000 0.5000

=====

(3)
# PBE ZnSiH2, optimized geometry
# Excess energy over the best structure of this formula in the dataset   0 meV/atom
# Uncorrected energy   -2.843 eV/atom
data_ZnSiH2
_cell_length_a 3.7131
_cell_length_b 3.7131
_cell_length_c 12.1219
_cell_angle_alpha 90.00
_cell_angle_beta 90.00
_cell_angle_gamma 90.00
_symmetry_space_group_name_H-M 'I -4 2 d'
_symmetry_Int_Tables_number 122
_symmetry_space_group_name_Hall 'I -4 2bw'
loop_
_atom_site_label
_atom_site_fract_x
_atom_site_fract_y
_atom_site_fract_z
Zn1 0.0000 0.0000 0.0000
Si1 0.0000 0.0000 0.5000
H1 0.0026 0.2500 0.6250

=====

(4)
# PBE Tb2CuAgO5, optimized geometry
# Uncorrected energy   -6.578 eV/atom
data_Tb2CuAgO5
_cell_length_a 6.5683
_cell_length_b 6.5683
_cell_length_c 5.4884
_cell_angle_alpha 90.00
_cell_angle_beta 90.00
_cell_angle_gamma 90.00
_symmetry_space_group_name_H-M 'P 4/m b m'
_symmetry_Int_Tables_number 127
_symmetry_space_group_name_Hall '-P 4 2ab'
loop_
_atom_site_label
_atom_site_fract_x
_atom_site_fract_y
_atom_site_fract_z
Tb1 0.1762 0.3238 0.0000
Cu1 0.0000 0.5000 0.5000
Ag1 0.0000 0.0000 0.5000
O1 0.0000 0.0000 0.0000
O2 0.1316 0.6316 0.2522

=====

(5)
# PBE AlFe2Pb, optimized geometry
# Excess energy over the best structure of this formula in the dataset   94 meV/atom
# Uncorrected energy   -5.778 eV/atom
# Energy of formation   0.316 eV/atom
data_AlFe2Pb
_cell_length_a 8.4999
_cell_length_b 3.1029
_cell_length_c 5.2694
_cell_angle_alpha 90.00
_cell_angle_beta 101.84
_cell_angle_gamma 90.00
_symmetry_space_group_name_H-M 'C 1 2/m 1'
_symmetry_Int_Tables_number 12
loop_
_symmetry_equiv_pos_as_xyz
'x,y,z'
'-x,-y,-z'
'-x,y,-z'
'x,-y,z'
'x+1/2,y+1/2,z'
'-x+1/2,-y+1/2,-z'
'-x+1/2,y+1/2,-z'
'x+1/2,-y+1/2,z'
loop_
_atom_site_label
_atom_site_fract_x
_atom_site_fract_y
_atom_site_fract_z
Al1 0.0000 0.0000 0.0000
Fe1 0.2439 0.5000 0.1713
Pb1 0.0000 0.5000 0.5000

=====

(6)
# PBE CuRe2Hg, optimized geometry
# Uncorrected energy   -6.565 eV/atom
# Energy of formation   0.759 eV/atom
data_CuRe2Hg
_cell_length_a 3.0471
_cell_length_b 4.4759
_cell_length_c 9.3347
_cell_angle_alpha 90.00
_cell_angle_beta 90.00
_cell_angle_gamma 90.00
_symmetry_space_group_name_H-M 'C m m m'
_symmetry_Int_Tables_number 65
_symmetry_space_group_name_Hall '-C 2 2'
loop_
_atom_site_label
_atom_site_fract_x
_atom_site_fract_y
_atom_site_fract_z
Cu1 0.0000 0.0000 0.0000
Re1 0.0000 0.5000 0.2280
Hg1 0.0000 0.0000 0.5000

=====

(7)
# PBE Y2TaGaAs, optimized geometry
# Uncorrected energy   -6.465 eV/atom
# Energy of formation   0.026 eV/atom
data_Y2TaGaAs
_cell_length_a 5.3356
_cell_length_b 5.3356
_cell_length_c 4.7806
_cell_angle_alpha 90.00
_cell_angle_beta 90.00
_cell_angle_gamma 90.00
_symmetry_space_group_name_H-M 'P 4/m m m'
_symmetry_Int_Tables_number 123
_symmetry_space_group_name_Hall '-P 4 2'
loop_
_atom_site_label
_atom_site_fract_x
_atom_site_fract_y
_atom_site_fract_z
Y1 0.0000 0.5000 0.0000
Ta1 0.0000 0.0000 0.5000
Ga1 0.5000 0.5000 0.5000
As1 0.0000 0.0000 0.0000

=====

(8)
# PBE CaBeFe4, optimized geometry
# Uncorrected energy   -6.234 eV/atom
# Energy of formation   0.362 eV/atom
data_CaBeFe4
_cell_length_a 6.9057
_cell_length_b 6.9057
_cell_length_c 6.9057
_cell_angle_alpha 90.00
_cell_angle_beta 90.00
_cell_angle_gamma 90.00
_symmetry_space_group_name_H-M 'F -4 3 m'
_symmetry_Int_Tables_number 216
_symmetry_space_group_name_Hall 'F -4 2 3'
loop_
_atom_site_label
_atom_site_fract_x
_atom_site_fract_y
_atom_site_fract_z
Ca1 0.0000 0.0000 0.0000
Be1 0.2500 0.2500 0.2500
Fe1 0.1239 0.1239 0.6239

=====

(9)
# PBE LiRhAu2, optimized geometry
# Uncorrected energy   -4.097 eV/atom
# Energy of formation   -0.142 eV/atom
data_LiRhAu2
_cell_length_a 3.9404
_cell_length_b 3.9404
_cell_length_c 8.1815
_cell_angle_alpha 90.00
_cell_angle_beta 90.00
_cell_angle_gamma 90.00
_symmetry_space_group_name_H-M 'I -4 m 2'
_symmetry_Int_Tables_number 119
_symmetry_space_group_name_Hall 'I -4 -2'
loop_
_atom_site_label
_atom_site_fract_x
_atom_site_fract_y
_atom_site_fract_z
Li1 0.0000 0.0000 0.0000
Rh1 0.0000 0.5000 0.7500
Au1 0.0000 0.0000 0.5000
Au2 0.0000 0.5000 0.2500

=====

(10)
# PBE Ni3BiCl, optimized geometry
# Excess energy over the best structure of this formula in the dataset   0 meV/atom
# Uncorrected energy   -4.104 eV/atom
data_Ni3BiCl
_cell_length_a 4.3535
_cell_length_b 4.3535
_cell_length_c 4.3535
_cell_angle_alpha 90.00
_cell_angle_beta 90.00
_cell_angle_gamma 90.00
_symmetry_space_group_name_H-M 'P m -3 m'
_symmetry_Int_Tables_number 221
_symmetry_space_group_name_Hall '-P 4 2 3'
loop_
_atom_site_label
_atom_site_fract_x
_atom_site_fract_y
_atom_site_fract_z
Ni1 0.0000 0.0000 0.5000
Bi1 0.5000 0.5000 0.5000
Cl1 0.0000 0.0000 0.0000

=====

(11)
# PBE YMg2MoRu, optimized geometry
# Uncorrected energy   -5.134 eV/atom
# Energy of formation   0.818 eV/atom
data_YMg2MoRu
_cell_length_a 4.9764
_cell_length_b 4.9764
_cell_length_c 5.0434
_cell_angle_alpha 90.00
_cell_angle_beta 90.00
_cell_angle_gamma 90.00
_symmetry_space_group_name_H-M 'P 4/m m m'
_symmetry_Int_Tables_number 123
_symmetry_space_group_name_Hall '-P 4 2'
loop_
_atom_site_label
_atom_site_fract_x
_atom_site_fract_y
_atom_site_fract_z
Y1 0.0000 0.0000 0.0000
Mg1 0.0000 0.5000 0.5000
Mo1 0.5000 0.5000 0.0000
Ru1 0.0000 0.0000 0.5000

=====

(12)
# PBE CaLa2ScS, optimized geometry
# Uncorrected energy   -5.181 eV/atom
data_CaLa2ScS
_cell_length_a 5.7276
_cell_length_b 5.7276
_cell_length_c 4.9233
_cell_angle_alpha 90.00
_cell_angle_beta 90.00
_cell_angle_gamma 90.00
_symmetry_space_group_name_H-M 'P 4/m m m'
_symmetry_Int_Tables_number 123
_symmetry_space_group_name_Hall '-P 4 2'
loop_
_atom_site_label
_atom_site_fract_x
_atom_site_fract_y
_atom_site_fract_z
Ca1 0.0000 0.0000 0.0000
La1 0.0000 0.5000 0.5000
Sc1 0.5000 0.5000 0.0000
S1 0.5000 0.5000 0.5000

=====

(13)
# PBE CaCo3H, optimized geometry
# Excess energy over the best structure of this formula in the dataset   0 meV/atom
# Uncorrected energy   -4.969 eV/atom
data_CaCo3H
_cell_length_a 3.8819
_cell_length_b 3.8819
_cell_length_c 3.8819
_cell_angle_alpha 90.00
_cell_angle_beta 90.00
_cell_angle_gamma 90.00
_symmetry_space_group_name_H-M 'P m -3 m'
_symmetry_Int_Tables_number 221
_symmetry_space_group_name_Hall '-P 4 2 3'
loop_
_atom_site_label
_atom_site_fract_x
_atom_site_fract_y
_atom_site_fract_z
Ca1 0.0000 0.0000 0.0000
Co1 0.0000 0.5000 0.5000
H1 0.5000 0.5000 0.5000

=====

(14)
# PBE YTiTe3, optimized geometry
# Excess energy over the best structure of this formula in the dataset   654 meV/atom
# Uncorrected energy   -4.517 eV/atom
data_YTiTe3
_cell_length_a 5.7636
_cell_length_b 5.7636
_cell_length_c 5.7636
_cell_angle_alpha 90.00
_cell_angle_beta 90.00
_cell_angle_gamma 90.00
_symmetry_space_group_name_H-M 'P m -3 m'
_symmetry_Int_Tables_number 221
_symmetry_space_group_name_Hall '-P 4 2 3'
loop_
_atom_site_label
_atom_site_fract_x
_atom_site_fract_y
_atom_site_fract_z
Y1 0.0000 0.0000 0.0000
Ti1 0.5000 0.5000 0.5000
Te1 0.0000 0.0000 0.5000

=====

(15)
# PBE LiLa5Ti8O24, optimized geometry
# Excess energy over the best structure of this formula in the dataset   0 meV/atom
# Uncorrected energy   -8.691 eV/atom
data_LiLa5Ti8O24
_cell_length_a 7.7586
_cell_length_b 7.8376
_cell_length_c 7.8251
_cell_angle_alpha 90.00
_cell_angle_beta 90.00
_cell_angle_gamma 90.00
_symmetry_space_group_name_H-M 'P m m 2'
_symmetry_Int_Tables_number 25
loop_
_symmetry_equiv_pos_as_xyz
'x,y,z'
'-x,-y,z'
'-x,y,z'
'x,-y,z'
loop_
_atom_site_label
_atom_site_fract_x
_atom_site_fract_y
_atom_site_fract_z
Li1 0.0000 0.0000 0.0000
La1 0.0000 0.5000 0.3734
La2 0.0000 0.5000 0.8816
La3 0.5000 0.0000 0.8534
La4 0.5000 0.5000 0.3728
La5 0.5000 0.5000 0.8582
Ti1 0.2448 0.2375 0.6181
Ti2 0.2491 0.2402 0.1278
O1 0.0000 0.2291 0.1056
O2 0.0000 0.3007 0.6245
O3 0.2104 0.5000 0.1283
O4 0.2310 0.0000 0.6516
O5 0.2460 0.2630 0.3696
O6 0.2601 0.2770 0.8689
O7 0.2760 0.0000 0.0871
O8 0.2898 0.5000 0.6073
O9 0.5000 0.2262 0.6293
O10 0.5000 0.2917 0.1195

=====

(16)
# PBE CeAlO2, optimized geometry
# Excess energy over the best structure of this formula in the dataset   296 meV/atom
# Uncorrected energy   -7.126 eV/atom
data_CeAlO2
_cell_length_a 2.9764
_cell_length_b 2.9764
_cell_length_c 20.2954
_cell_angle_alpha 90.00
_cell_angle_beta 90.00
_cell_angle_gamma 120.00
_symmetry_space_group_name_H-M 'R -3 m'
_symmetry_Int_Tables_number 166
_symmetry_space_group_name_Hall '-R 3 2"'
loop_
_atom_site_label
_atom_site_fract_x
_atom_site_fract_y
_atom_site_fract_z
Ce1 0.0000 0.0000 0.0000
Al1 0.0000 0.0000 0.5000
O1 0.0000 0.0000 0.1191

=====

(17)
# PBE NbCr2HIr, optimized geometry
# Excess energy over the best structure of this formula in the dataset   51 meV/atom
# Uncorrected energy   -8.309 eV/atom
data_NbCr2HIr
_cell_length_a 3.9035
_cell_length_b 3.9035
_cell_length_c 3.8660
_cell_angle_alpha 90.00
_cell_angle_beta 90.00
_cell_angle_gamma 90.00
_symmetry_space_group_name_H-M 'P 4/m m m'
_symmetry_Int_Tables_number 123
_symmetry_space_group_name_Hall '-P 4 2'
loop_
_atom_site_label
_atom_site_fract_x
_atom_site_fract_y
_atom_site_fract_z
Nb1 0.0000 0.0000 0.0000
Cr1 0.0000 0.5000 0.5000
H1 0.5000 0.5000 0.5000
Ir1 0.5000 0.5000 0.0000

=====

(18)
# PBE Ba2CdNiAg, optimized geometry
# Excess energy over the best structure of this formula in the dataset   47 meV/atom
# Uncorrected energy   -2.698 eV/atom
# Energy of formation   -0.019 eV/atom
data_Ba2CdNiAg
_cell_length_a 5.9324
_cell_length_b 5.9324
_cell_length_c 4.9552
_cell_angle_alpha 90.00
_cell_angle_beta 90.00
_cell_angle_gamma 90.00
_symmetry_space_group_name_H-M 'P 4/m m m'
_symmetry_Int_Tables_number 123
_symmetry_space_group_name_Hall '-P 4 2'
loop_
_atom_site_label
_atom_site_fract_x
_atom_site_fract_y
_atom_site_fract_z
Ba1 0.0000 0.5000 0.0000
Cd1 0.0000 0.0000 0.5000
Ni1 0.5000 0.5000 0.0000
Ag1 0.5000 0.5000 0.5000

=====

(19)
# PBE YHfSc2Cl, optimized geometry
# Uncorrected energy   -5.559 eV/atom
data_YHfSc2Cl
_cell_length_a 5.2756
_cell_length_b 5.2756
_cell_length_c 5.7732
_cell_angle_alpha 90.00
_cell_angle_beta 90.00
_cell_angle_gamma 90.00
_symmetry_space_group_name_H-M 'P 4/m m m'
_symmetry_Int_Tables_number 123
_symmetry_space_group_name_Hall '-P 4 2'
loop_
_atom_site_label
_atom_site_fract_x
_atom_site_fract_y
_atom_site_fract_z
Y1 0.0000 0.0000 0.0000
Hf1 0.0000 0.0000 0.5000
Sc1 0.0000 0.5000 0.5000
Cl1 0.5000 0.5000 0.0000

=====

(20)
# PBE Pm3DySc3, optimized geometry
# Excess energy over the best structure of this formula in the dataset   0 meV/atom
# Uncorrected energy   -5.359 eV/atom
# Energy of formation   0.048 eV/atom
data_Pm3DySc3
_cell_length_a 9.3181
_cell_length_b 9.3181
_cell_length_c 5.5440
_cell_angle_alpha 90.00
_cell_angle_beta 90.00
_cell_angle_gamma 120.00
_symmetry_space_group_name_H-M 'P 63/m'
_symmetry_Int_Tables_number 176
_symmetry_space_group_name_Hall '-P 6c'
loop_
_atom_site_label
_atom_site_fract_x
_atom_site_fract_y
_atom_site_fract_z
Pm1 0.0492 0.2488 0.2500
Dy1 0.3333 0.6667 0.2500
Sc1 0.0966 0.4845 0.7500